Record 1
{"formula": "DyTmZr", "functional": "PBE", "state": "optimized geometry", "lattice": [[1.7156, -9.0091, 0.0000], [1.7156, 9.0091, 0.0000], [0.0000, 0.0000, 5.4344]], "species": ["Dy", "Dy", "Tm", "Tm", "Zr", "Zr"], "frac_coords": [[0.2145, 0.7855, 0.7500], [0.7855, 0.2145, 0.2500], [0.1029, 0.8971, 0.2500], [0.8971, 0.1029, 0.7500], [0.4484, 0.5516, 0.2500], [0.5516, 0.4484, 0.7500]], "final_energy_ev_per_cell": -35.00, "dos_at_fermi_per_ev_cell": 8.81, "delta_e_f_ev_per_atom": 0.04, "vol_a3_per_atom": 28.00, "polymorph_energy_mev_per_atom": 0, "space_group": "Cmcm (63)", "total_magnetization_mub_per_fu": 0.000}

=====

Record 2
{"formula": "Dy12Tm2Zr", "functional": "PBE", "state": "optimized geometry", "lattice": [[3.5718, -5.6060, 0.0000], [3.5718, 5.6060, 0.0000], [-1.7568, 0.0000, 23.1819]], "species": ["Dy", "Dy", "Dy", "Dy", "Dy", "Dy", "Dy", "Dy", "Dy", "Dy", "Dy", "Dy", "Dy", "Dy", "Dy", "Dy", "Dy", "Dy", "Dy", "Dy", "Dy", "Dy", "Dy", "Dy", "Tm", "Tm", "Tm", "Tm", "Zr", "Zr"], "frac_coords": [[0.0347, 0.0347, 0.1400], [0.0477, 0.5477, 0.1908], [0.1039, 0.1039, 0.4226], [0.1095, 0.6094, 0.4418], [0.1697, 0.6701, 0.6797], [0.2324, 0.7340, 0.9365], [0.2660, 0.7676, 0.0635], [0.3299, 0.8303, 0.3203], [0.3906, 0.8905, 0.5582], [0.3960, 0.3960, 0.5774], [0.4523, 0.9523, 0.8092], [0.4659, 0.4659, 0.8618], [0.5341, 0.5341, 0.1382], [0.5477, 0.0477, 0.1908], [0.6040, 0.6040, 0.4226], [0.6094, 0.1095, 0.4418], [0.6701, 0.1697, 0.6797], [0.7340, 0.2324, 0.9365], [0.7676, 0.2660, 0.0635], [0.8303, 0.3299, 0.3203], [0.8905, 0.3906, 0.5582], [0.8961, 0.8961, 0.5774], [0.9523, 0.4523, 0.8092], [0.9653, 0.9653, 0.8600], [0.1802, 0.1802, 0.7187], [0.3197, 0.3197, 0.2813], [0.6803, 0.6803, 0.7187], [0.8198, 0.8198, 0.2813], [0.2812, 0.2812, 0.0000], [0.7188, 0.7188, 0.0000]], "final_energy_ev_per_cell": -141.94, "dos_at_fermi_per_ev_cell": 45.39, "delta_e_f_ev_per_atom": 0.12, "vol_a3_per_atom": 30.95, "space_group": "C2/m (12)", "total_magnetization_mub_per_fu": 0.000}

=====

Record 3
{"formula": "DyTm2Zr", "functional": "PBE", "state": "optimized geometry", "lattice": [[4.8181, 0.0000, 0.0000], [0.0000, 4.8181, 0.0000], [0.0000, 0.0000, 4.8300]], "species": ["Dy", "Tm", "Tm", "Zr"], "frac_coords": [[0.0000, 0.0000, 0.0000], [0.0000, 0.5000, 0.5000], [0.5000, 0.0000, 0.5000], [0.5000, 0.5000, 0.0000]], "final_energy_ev_per_cell": -21.77, "dos_at_fermi_per_ev_cell": 5.33, "delta_e_f_ev_per_atom": 0.08, "vol_a3_per_atom": 28.03, "polymorph_energy_mev_per_atom": 24, "space_group": "P4/mmm (123)", "total_magnetization_mub_per_fu": 0.000}

=====

Record 4
{"formula": "Dy7Tm4Zr", "functional": "PBE", "state": "optimized geometry", "lattice": [[5.8558, 0.0000, 0.0000], [0.0057, 6.8534, 0.0000], [0.4928, 3.4248, 9.1853]], "species": ["Dy", "Dy", "Dy", "Dy", "Dy", "Dy", "Dy", "Tm", "Tm", "Tm", "Tm", "Zr"], "frac_coords": [[0.0000, 0.0000, 0.0000], [0.2197, 0.7118, 0.5777], [0.2597, 0.1881, 0.6251], [0.2595, 0.5354, 0.9299], [0.7405, 0.4646, 0.0701], [0.7403, 0.8119, 0.3749], [0.7803, 0.2882, 0.4223], [0.2725, 0.1286, 0.2703], [0.2723, 0.6012, 0.2705], [0.7277, 0.3988, 0.7295], [0.7275, 0.8714, 0.7297], [0.5000, 0.0000, 0.0000]], "final_energy_ev_per_cell": -56.67, "dos_at_fermi_per_ev_cell": 23.72, "delta_e_f_ev_per_atom": 0.17, "vol_a3_per_atom": 30.72, "space_group": "P-1 (2)", "total_magnetization_mub_per_fu": 0.014}